The following is a GGA-PBE calculation of a geometry-optimized CaPmCo structure, from the Alexandria database.

Results
- calculated volume (Å³/f.u.) = 86.06
- density of states at the Fermi level (states/eV/f.u.) = 1.493
- formation energy from the elements (eV per formula unit) = 0.40
- mass density (g cm⁻³) = 4.71
- ΔE to the lowest computed polymorph (eV per formula unit) = 0.56
- DFT total energy (eV for the cell shown) = -13.455

Unit cell a=3.8953 b=3.8953 c=6.5488 alpha=90.00 beta=90.00 gamma=120.00
With the nearest neighbours (Å) after each atom.
Fractional coordinates of all 3 atoms:
Pm (0.3333, 0.6667, 0.5653)  3 Co 2.66
Co (0.6667, 0.3333, 0.3477)  3 Pm 2.66, 3 Ca 2.82
Ca (0.0000, 0.0000, 0.0870)  3 Co 2.82